Dy6ThIn3 after structural relaxation, computed with PBE-GGA.

Geometry as POSCAR:
```
Dy6ThIn3
1.0
-0.223 -5.057 -1.078
3.725 1.775 -9.091
9.522 -1.649 5.770
Dy Th In
12 2 6
Direct
0.250 0.452 0.096 Dy
0.750 0.548 0.904 Dy
0.250 0.140 0.222 Dy
0.750 0.860 0.778 Dy
0.250 0.641 0.691 Dy
0.750 0.359 0.309 Dy
0.250 0.272 0.516 Dy
0.750 0.728 0.484 Dy
0.250 0.823 0.285 Dy
0.750 0.177 0.715 Dy
0.250 0.069 0.905 Dy
0.750 0.931 0.095 Dy
0.250 0.954 0.594 Th
0.750 0.046 0.406 Th
0.250 0.542 0.391 In
0.750 0.458 0.609 In
0.250 0.358 0.807 In
0.750 0.642 0.193 In
0.250 0.759 0.976 In
0.750 0.241 0.024 In
```

ΔH_f (0 K) in eV per atom: -0.28
Theoretical density in kg/m3: 9001
Calculated total energy in eV per atom: -4.601
Total magnetic moment in μB per formula unit: 0.0


RbBaSn after structural relaxation, computed with PBE-GGA.

Geometry as POSCAR:
```
RbBaSn
1.0
-5.077 0.150 -1.360
-1.673 -3.376 -2.925
-3.252 -9.935 13.035
Rb Ba Sn
2 2 2
Direct
0.685 0.162 0.378 Rb
0.315 0.838 0.622 Rb
0.954 0.535 0.860 Ba
0.046 0.465 0.140 Ba
0.678 0.157 0.024 Sn
0.322 0.843 0.976 Sn
```

Offset from the most stable computed form in kJ/mol of formula units: 0.0
ΔH_f (0 K) in eV per atom: -0.27
Theoretical density in kg/m3: 3082
Calculated total energy in eV per atom: -2.573
Total magnetic moment in μB per formula unit: 0.0